Here is an optimized crystal structure of TaBeH3 from Alexandria. Energies are from PBE-GGA.

Calculated values
Crystal system: triclinic
Polymorph energy (0 for the lowest one): 0 meV per atom
Total magnetic moment: 0.00 μB/cell
Total energy: -5.07 eV per atom

Cell: 2.863 4.230 6.531 Å, 92.24 90.22 90.14°
Positions (direct):
Ta  0.250  0.239  0.361
Ta  0.750  0.761  0.639
Be  0.252  0.292  0.762
Be  0.748  0.708  0.238
H  0.249  0.788  0.428
H  0.250  0.542  0.144
H  0.251  0.939  0.833
H  0.749  0.061  0.167
H  0.750  0.458  0.856
H  0.751  0.212  0.572